{"formula": "SrYSe2", "functional": "meta-GGA SCAN", "state": "single point on PBEsol structure", "lattice": [[-3.319, 3.319, 6.453], [3.319, -3.319, 6.453], [3.319, 3.319, -6.453]], "species": ["Sr", "Sr", "Y", "Y", "Se", "Se", "Se", "Se"], "fractional_positions": [[0.000, 0.000, 0.000], [0.750, 0.250, 0.500], [0.250, 0.750, 0.500], [0.500, 0.500, 0.000], [0.155, 0.625, 0.030], [0.375, 0.405, 0.530], [0.595, 0.125, 0.970], [0.875, 0.845, 0.470]], "polymorph_energy_ev_per_atom": 0.394, "m_tot_mub_per_cell": 1.677, "raw_formation_energy_ev_per_atom": -1.7403}

{"formula": "SrY2Se4", "functional": "meta-GGA SCAN", "state": "single point on PBEsol structure", "lattice": [[12.368, 0.000, 0.000], [0.000, 4.098, 0.000], [0.000, 0.000, 14.817]], "species": ["Sr", "Sr", "Sr", "Sr", "Y", "Y", "Y", "Y", "Y", "Y", "Y", "Y", "Se", "Se", "Se", "Se", "Se", "Se", "Se", "Se", "Se", "Se", "Se", "Se", "Se", "Se", "Se", "Se"], "fractional_positions": [[0.242, 0.250, 0.165], [0.258, 0.750, 0.665], [0.742, 0.250, 0.335], [0.758, 0.750, 0.835], [0.067, 0.250, 0.391], [0.081, 0.250, 0.901], [0.419, 0.750, 0.401], [0.433, 0.750, 0.891], [0.567, 0.250, 0.109], [0.581, 0.250, 0.599], [0.919, 0.750, 0.099], [0.933, 0.750, 0.609], [0.023, 0.750, 0.784], [0.088, 0.250, 0.580], [0.133, 0.750, 0.028], [0.207, 0.750, 0.325], [0.293, 0.250, 0.825], [0.367, 0.250, 0.528], [0.412, 0.750, 0.080], [0.477, 0.250, 0.284], [0.523, 0.750, 0.716], [0.588, 0.250, 0.920], [0.633, 0.750, 0.472], [0.707, 0.750, 0.175], [0.793, 0.250, 0.675], [0.867, 0.250, 0.972], [0.912, 0.750, 0.420], [0.977, 0.250, 0.216]], "m_tot_mub_per_cell": 0.000, "raw_formation_energy_ev_per_atom": -2.2451}

{"formula": "SrYSe2", "functional": "meta-GGA SCAN", "state": "single point on PBEsol structure", "lattice": [[2.071, 1.196, 6.947], [-2.071, 1.196, 6.947], [0.000, -2.392, 6.947]], "species": ["Sr", "Y", "Se", "Se"], "fractional_positions": [[0.000, 0.000, 0.000], [0.500, 0.500, 0.500], [0.244, 0.244, 0.244], [0.756, 0.756, 0.756]], "polymorph_energy_ev_per_atom": 0.000, "m_tot_mub_per_cell": 0.000, "raw_formation_energy_ev_per_atom": -2.1346}

{"formula": "Sr2YSe", "functional": "meta-GGA SCAN", "state": "single point on PBEsol structure", "lattice": [[2.014, 1.163, 10.365], [-2.014, 1.163, 10.365], [0.000, -2.326, 10.365]], "species": ["Sr", "Sr", "Y", "Se"], "fractional_positions": [[0.229, 0.229, 0.229], [0.771, 0.771, 0.771], [0.000, 0.000, 0.000], [0.500, 0.500, 0.500]], "m_tot_mub_per_cell": 1.170, "raw_formation_energy_ev_per_atom": -0.8990}

{"formula": "SrYSe2", "functional": "meta-GGA SCAN", "state": "single point on PBEsol structure", "lattice": [[4.332, 0.000, 0.000], [0.000, 1.983, 6.083], [0.000, -1.983, 6.083]], "species": ["Sr", "Y", "Se", "Se"], "fractional_positions": [[0.000, 0.000, 0.000], [0.500, 0.270, 0.270], [0.000, 0.748, 0.748], [0.500, 0.501, 0.501]], "polymorph_energy_ev_per_atom": 0.265, "m_tot_mub_per_cell": 0.000, "raw_formation_energy_ev_per_atom": -1.8692}

{"formula": "SrY2Se", "functional": "meta-GGA SCAN", "state": "single point on PBEsol structure", "lattice": [[5.250, 0.000, 0.000], [0.000, 5.250, 0.000], [0.000, 0.000, 3.930]], "species": ["Sr", "Y", "Y", "Se"], "fractional_positions": [[0.000, 0.000, 0.000], [0.000, 0.500, 0.500], [0.500, 0.000, 0.500], [0.500, 0.500, 0.000]], "m_tot_mub_per_cell": 0.000, "raw_formation_energy_ev_per_atom": -0.2261}

{"formula": "Sr2YSe", "functional": "meta-GGA SCAN", "state": "single point on PBEsol structure", "lattice": [[2.641, -2.658, 0.000], [2.641, 2.658, 0.000], [0.000, 0.000, 9.648]], "species": ["Sr", "Sr", "Y", "Se"], "fractional_positions": [[0.000, 0.000, 0.188], [0.000, 0.000, 0.812], [0.500, 0.500, 0.500], [0.500, 0.500, 0.000]], "m_tot_mub_per_cell": 0.341, "raw_formation_energy_ev_per_atom": -0.8434}

{"formula": "SrYSe", "functional": "meta-GGA SCAN", "state": "single point on PBEsol structure", "lattice": [[0.000, 3.580, 3.580], [3.580, 0.000, 3.580], [3.580, 3.580, 0.000]], "species": ["Sr", "Y", "Se"], "fractional_positions": [[0.000, 0.000, 0.000], [0.750, 0.750, 0.750], [0.500, 0.500, 0.500]], "m_tot_mub_per_cell": 2.777, "raw_formation_energy_ev_per_atom": -0.0137}